LiNb2F11 | PBE | relaxed

Summary:
- Raw formation energy: -2988 meV/atom
- Density: 3288 kg/m3
- Electronic total energy: -84.467 eV/f.u.
- Space group: Ibam

Lattice parameters (Å, degrees): 8.1400 8.1400 8.1400 119.19 106.56 103.14
Last column: nearest neighbours and their distance in Å.
Element x y z (fractional)
Li  0.2500  0.2500  0.0000  4 F 1.99
Li  0.7500  0.7500  0.0000  4 F 1.99
Nb  0.2021  0.5884  0.7905  6 F 1.90-2.10
Nb  0.2979  0.0884  0.3864  6 F 1.90-2.10
Nb  0.7021  0.9116  0.6136  6 F 1.90-2.10
Nb  0.7979  0.4116  0.2095  6 F 1.90-2.10
F  0.0000  0.5000  0.5000  2 Nb 2.10
F  0.0201  0.9475  0.2164  1 Nb 1.96, 1 Li 1.99
F  0.0242  0.4452  0.1808  1 Nb 1.90
F  0.2087  0.3497  0.5584  1 Nb 1.97
F  0.2312  0.4475  0.9275  1 Nb 1.96, 1 Li 1.99
F  0.2356  0.0548  0.5791  1 Nb 1.90
F  0.2644  0.8434  0.8192  1 Nb 1.90
F  0.2688  0.1963  0.2164  1 Nb 1.96, 1 Li 1.99
F  0.2913  0.8497  0.1411  1 Nb 1.97
F  0.4758  0.6566  0.4209  1 Nb 1.90
F  0.4799  0.6963  0.9275  1 Nb 1.96, 1 Li 1.99
F  0.5000  0.0000  0.5000  2 Nb 2.10
F  0.5201  0.3037  0.0725  1 Nb 1.96, 1 Li 1.99
F  0.5242  0.3434  0.5791  1 Nb 1.90
F  0.7087  0.1503  0.8589  1 Nb 1.97
F  0.7312  0.8037  0.7836  1 Nb 1.96, 1 Li 1.99
F  0.7356  0.1566  0.1808  1 Nb 1.90
F  0.7644  0.9452  0.4209  1 Nb 1.90
F  0.7688  0.5525  0.0725  1 Nb 1.96, 1 Li 1.99
F  0.7913  0.6503  0.4416  1 Nb 1.97
F  0.9758  0.5548  0.8192  1 Nb 1.90
F  0.9799  0.0525  0.7836  1 Nb 1.96, 1 Li 1.99

LiNb2F | PBE | relaxed

Summary:
- Raw formation energy: 340 meV/atom
- Density: 6038 kg/m3
- Electronic total energy: -22.564 eV/f.u.
- Energy relative to the lowest polymorph listed for this composition: 0 meV per atom
- Space group: Fm-3m

Lattice parameters (Å, degrees): 4.3509 4.3509 4.3509 60.00 60.00 60.00
Last column: nearest neighbours and their distance in Å.
Element x y z (fractional)
Li  0.0000  0.0000  0.0000  8 Nb 2.66
Nb  0.2500  0.2500  0.2500  4 F 2.66, 4 Li 2.66
Nb  0.7500  0.7500  0.7500  4 Li 2.66, 4 F 2.66
F  0.5000  0.5000  0.5000  8 Nb 2.66

LiNbF5 | PBE | relaxed

Summary:
- Raw formation energy: -2955 meV/atom
- Density: 2993 kg/m3
- Electronic total energy: -42.027 eV/f.u.
- Energy relative to the lowest polymorph listed for this composition: 0 meV per atom
- Space group: Imm2

Lattice parameters (Å, degrees): 5.5204 5.5204 5.5204 98.15 97.87 136.17
Last column: nearest neighbours and their distance in Å.
Element x y z (fractional)
Li  0.0000  0.0000  0.0000  4 F 1.91
Nb  0.2518  0.7518  0.5000  6 F 1.98-2.06
F  0.2383  0.0124  0.7741  1 Li 1.91, 1 Nb 1.98
F  0.2383  0.4643  0.2259  1 Li 1.91, 1 Nb 1.98
F  0.5387  0.7653  0.7733  1 Li 1.91, 1 Nb 1.98
F  0.7518  0.2518  0.5000  2 Nb 2.06
F  0.9920  0.7653  0.2267  1 Li 1.91, 1 Nb 1.98